Hf2TcCl: optimized geometry, GGA-PBE.

a b c (Å): 4.7068 4.7068 4.7068
angles (deg): 60.00 60.00 60.00
Last column: nearest neighbours and their distance in Å.
Atoms (fractional coordinates):
Hf: 0.2500 0.2500 0.2500  4 Cl 2.88, 4 Tc 2.88
Hf: 0.7500 0.7500 0.7500  4 Cl 2.88, 4 Tc 2.88
Tc: 0.0000 0.0000 0.0000  8 Hf 2.88
Cl: 0.5000 0.5000 0.5000  8 Hf 2.88

Calculated values
Excess energy over the best structure of this formula in the dataset, eV/atom: 0.000
Raw formation energy, meV per atom: 67
DOS(E_F), states/eV per cell: 2.7

=====

Cs3DyI6: optimized geometry, GGA-PBE.

a b c (Å): 9.0149 9.6160 15.4902
angles (deg): 90.00 124.06 90.00
Last column: nearest neighbours and their distance in Å.
Atoms (fractional coordinates):
Cs: 0.0000 0.0000 0.0000  6 I 3.80-3.91
Cs: 0.0000 0.5000 0.5000  6 I 3.80-3.91
Cs: 0.2125 0.0769 0.7438  6 I 3.88-4.16
Cs: 0.2125 0.4231 0.2438  6 I 3.88-4.16
Cs: 0.7875 0.5769 0.7562  6 I 3.88-4.16
Cs: 0.7875 0.9231 0.2562  6 I 3.88-4.16
Dy: 0.5000 0.0000 0.5000  6 I 3.04-3.07
Dy: 0.5000 0.5000 0.0000  6 I 3.04-3.07
I: 0.1773 0.1723 0.4503  1 Dy 3.05
I: 0.1773 0.3277 0.9503  1 Dy 3.05
I: 0.2700 0.7361 0.4294  1 Dy 3.07
I: 0.2700 0.7639 0.9294  1 Dy 3.07
I: 0.4016 0.0479 0.2796  1 Dy 3.04
I: 0.4016 0.4521 0.7796  1 Dy 3.04
I: 0.5984 0.5479 0.2204  1 Dy 3.04
I: 0.5984 0.9521 0.7204  1 Dy 3.04
I: 0.7300 0.2361 0.0706  1 Dy 3.07
I: 0.7300 0.2639 0.5706  1 Dy 3.07
I: 0.8227 0.6723 0.0497  1 Dy 3.05
I: 0.8227 0.8277 0.5497  1 Dy 3.05

Calculated values
Raw formation energy, meV per atom: -1514
DOS(E_F), states/eV per cell: 0.0

=====

BaMgGa: optimized geometry, GGA-PBE.

a b c (Å): 4.7951 4.7951 8.1400
angles (deg): 90.00 90.00 90.00
Last column: nearest neighbours and their distance in Å.
Atoms (fractional coordinates):
Ba: 0.2500 0.2500 0.1641  5 Ga 3.56-3.77, 4 Mg 3.64
Ba: 0.7500 0.7500 0.8359  5 Ga 3.56-3.77, 4 Mg 3.64
Mg: 0.2500 0.7500 0.5000  4 Ga 2.90
Mg: 0.7500 0.2500 0.5000  4 Ga 2.90
Ga: 0.2500 0.2500 0.7011  4 Mg 2.90
Ga: 0.7500 0.7500 0.2989  4 Mg 2.90

Calculated values
DOS(E_F), states/eV per cell: 5.6
ΔE_f, kJ per mole of atoms: -30.3

=====

ScOs2Cl: optimized geometry, GGA-PBE.

a b c (Å): 4.4387 4.4387 3.1943
angles (deg): 90.00 90.00 90.00
Last column: nearest neighbours and their distance in Å.
Atoms (fractional coordinates):
Sc: 0.0000 0.0000 0.0000  8 Os 2.73
Os: 0.0000 0.5000 0.5000  4 Cl 2.73, 4 Sc 2.73
Os: 0.5000 0.0000 0.5000  4 Cl 2.73, 4 Sc 2.73
Cl: 0.5000 0.5000 0.0000  8 Os 2.73

Calculated values
Excess energy over the best structure of this formula in the dataset, eV/atom: 0.921
Raw formation energy, meV per atom: 807
DOS(E_F), states/eV per cell: 1.7

=====

TmHPd4: optimized geometry, GGA-PBE.

a b c (Å): 6.4882 6.4882 6.4882
angles (deg): 111.73 111.73 105.03
Last column: nearest neighbours and their distance in Å.
Atoms (fractional coordinates):
Tm: 0.0000 0.0000 0.0000  4 Pd 2.47-2.65
Tm: 0.7500 0.2500 0.5000  4 Pd 2.47-2.65
H: 0.3372 0.8372 0.5000  2 Pd 1.76
H: 0.5872 0.5872 0.0000  2 Pd 1.76
Pd: 0.1100 0.4280 0.3180  1 H 2.23, 1 Tm 2.47
Pd: 0.1100 0.7919 0.6820  1 H 2.23, 1 Tm 2.47
Pd: 0.1780 0.3600 0.8180  1 H 2.23, 1 Tm 2.47
Pd: 0.4668 0.1634 0.6965  1 H 1.76
Pd: 0.4668 0.7703 0.3035  1 H 1.76
Pd: 0.5203 0.7168 0.8035  1 H 1.76
Pd: 0.5419 0.3600 0.1820  1 H 2.23, 1 Tm 2.47
Pd: 0.9134 0.7168 0.1965  1 H 1.76

Calculated values
DOS(E_F), states/eV per cell: 4.4
DFT total energy, eV per formula unit: -29.18

=====

Be2SiPb: optimized geometry, GGA-PBE.

a b c (Å): 4.5221 4.5221 4.5221
angles (deg): 60.00 60.00 60.00
Last column: nearest neighbours and their distance in Å.
Atoms (fractional coordinates):
Be: 0.2500 0.2500 0.2500  4 Pb 2.77, 4 Si 2.77
Be: 0.7500 0.7500 0.7500  4 Pb 2.77, 4 Si 2.77
Si: 0.0000 0.0000 0.0000  8 Be 2.77
Pb: 0.5000 0.5000 0.5000  8 Be 2.77

Calculated values
Excess energy over the best structure of this formula in the dataset, eV/atom: 0.610
Raw formation energy, meV per atom: 866
DOS(E_F), states/eV per cell: 2.0

=====

MnCuSi2: optimized geometry, GGA-PBE.

a b c (Å): 4.6584 4.6584 4.1992
angles (deg): 96.59 96.59 32.62
Last column: nearest neighbours and their distance in Å.
Atoms (fractional coordinates):
Mn: 0.0000 0.0000 0.0000  7 Si 2.47-2.55, 2 Mn 2.62, 1 Cu 2.72
Cu: 0.7490 0.7490 0.3083  7 Si 2.42-2.68, 2 Cu 2.62
Si: 0.2624 0.2624 0.8220  4 Cu 2.44-2.51, 3 Mn 2.53-2.55, 3 Si 2.62-2.68
Si: 0.5047 0.5047 0.5035  3 Cu 2.42-2.68, 4 Mn 2.47-2.48, 3 Si 2.62-2.68

Calculated values
Raw formation energy, meV per atom: -67
DOS(E_F), states/eV per cell: 1.9

=====

SrMoP2Cl: optimized geometry, GGA-PBE.

a b c (Å): 4.6848 4.6848 5.2101
angles (deg): 90.00 90.00 90.00
Last column: nearest neighbours and their distance in Å.
Atoms (fractional coordinates):
Sr: 0.0000 0.0000 0.0000  4 Cl 3.31, 8 P 3.50
Mo: 0.5000 0.5000 0.5000  4 P 2.34, 2 Cl 2.61
P: 0.0000 0.5000 0.5000  2 Mo 2.34
P: 0.5000 0.0000 0.5000  2 Mo 2.34
Cl: 0.5000 0.5000 0.0000  2 Mo 2.61

Calculated values
Excess energy over the best structure of this formula in the dataset, eV/atom: 0.000
Raw formation energy, meV per atom: -573
DOS(E_F), states/eV per cell: 4.2